[1]
Density functional theory data (GGA-PBE) for crystalline Te2MoIN at its relaxed geometry.

Cell lengths 5.8786, 5.8786, 3.9269 Å; angles 90.00, 90.00, 90.00 degrees
Sites, in units of the cell vectors:
N  0.0000  0.0000  0.5000
Te  0.5000  0.0000  0.0000
Mo  0.5000  0.5000  0.5000
I  0.0000  0.0000  0.0000
Te  0.0000  0.5000  0.0000

The value obtained for the volume is 135.7 Å³ per cell. Its symmetry is No. 123. The total DFT energy (no corrections) comes out at -18.47 eV/cell. The calculation puts the relative energy among the computed polymorphs at 1.386 eV per atom.

---

[2]
Density functional theory data (GGA-PBE) for crystalline TiMoIN2 at its relaxed geometry.

Cell lengths 3.9698, 3.9698, 5.5619 Å; angles 90.00, 90.00, 90.00 degrees
Sites, in units of the cell vectors:
N  0.5000  0.0000  0.0000
N  0.0000  0.5000  0.0000
Mo  0.0000  0.0000  0.0000
Ti  0.5000  0.5000  0.5000
I  0.0000  0.0000  0.5000

The value obtained for the volume is 87.7 Å³ per cell. Its symmetry is No. 123. The total DFT energy (no corrections) comes out at -33.05 eV/cell. The calculation puts the relative energy among the computed polymorphs at 0.000 eV per atom.

---

[3]
Density functional theory data (GGA-PBE) for crystalline TiMoIN2 at its relaxed geometry.

Cell lengths 3.9893, 3.9893, 5.6680 Å; angles 90.00, 90.00, 90.00 degrees
Sites, in units of the cell vectors:
I  0.0000  0.0000  0.5000
N  0.5000  0.0000  0.0000
N  0.0000  0.5000  0.0000
Ti  0.0000  0.0000  0.0000
Mo  0.5000  0.5000  0.5000

The value obtained for the volume is 90.2 Å³ per cell. Its symmetry is No. 123. The total DFT energy (no corrections) comes out at -32.27 eV/cell. The calculation puts the relative energy among the computed polymorphs at 0.155 eV per atom.

---

[4]
Density functional theory data (GGA-PBE) for crystalline TlMo2IN at its relaxed geometry.

Cell lengths 5.5810, 6.2406, 5.5810 Å; angles 90.00, 90.00, 90.00 degrees
Sites, in units of the cell vectors:
Tl  0.0000  0.0000  0.0000
I  0.0000  0.5000  0.0000
N  0.5000  0.5000  0.5000
Mo  0.5000  0.0000  0.0000
Mo  0.0000  0.0000  0.5000

The value obtained for the volume is 194.4 Å³ per cell. Its symmetry is No. 123. The total DFT energy (no corrections) comes out at -19.76 eV/cell.

---

[5]
Density functional theory data (GGA-PBE) for crystalline VMoIN2 at its relaxed geometry.

Cell lengths 3.9030, 3.9030, 5.5341 Å; angles 90.00, 90.00, 90.00 degrees
Sites, in units of the cell vectors:
N  0.5000  0.0000  0.0000
Mo  0.5000  0.5000  0.5000
N  0.0000  0.5000  0.0000
I  0.0000  0.0000  0.5000
V  0.0000  0.0000  0.0000

The value obtained for the volume is 84.3 Å³ per cell. Its symmetry is No. 123. The total DFT energy (no corrections) comes out at -32.78 eV/cell. The calculation puts the relative energy among the computed polymorphs at 0.254 eV per atom.

---

[6]
Density functional theory data (GGA-PBE) for crystalline VMoIN2 at its relaxed geometry.

Cell lengths 3.9622, 3.9622, 5.7579 Å; angles 90.00, 90.00, 90.00 degrees
Sites, in units of the cell vectors:
Mo  0.0000  0.0000  0.0000
V  0.5000  0.5000  0.5000
N  0.0000  0.5000  0.0000
I  0.0000  0.0000  0.5000
N  0.5000  0.0000  0.0000

The value obtained for the volume is 90.4 Å³ per cell. Its symmetry is No. 123. The total DFT energy (no corrections) comes out at -34.05 eV/cell. The calculation puts the relative energy among the computed polymorphs at 0.000 eV per atom.

---

[7]
Density functional theory data (GGA-PBE) for crystalline ZnMoI2N at its relaxed geometry.

Cell lengths 5.7537, 5.7537, 3.7125 Å; angles 90.00, 90.00, 90.00 degrees
Sites, in units of the cell vectors:
Zn  0.0000  0.0000  0.0000
N  0.0000  0.0000  0.5000
I  0.0000  0.5000  0.0000
I  0.5000  0.0000  0.0000
Mo  0.5000  0.5000  0.5000

The value obtained for the volume is 122.9 Å³ per cell. Its symmetry is No. 123. The total DFT energy (no corrections) comes out at -17.20 eV/cell. The calculation puts the relative energy among the computed polymorphs at 0.948 eV per atom.

---

[8]
Density functional theory data (GGA-PBE) for crystalline ZnMoI2N at its relaxed geometry.

Cell lengths 5.6727, 5.6727, 3.8415 Å; angles 90.00, 90.00, 90.00 degrees
Sites, in units of the cell vectors:
N  0.0000  0.0000  0.5000
I  0.5000  0.0000  0.0000
Zn  0.5000  0.5000  0.5000
I  0.0000  0.5000  0.0000
Mo  0.0000  0.0000  0.0000

The value obtained for the volume is 123.6 Å³ per cell. Its symmetry is No. 123. The total DFT energy (no corrections) comes out at -21.94 eV/cell. The calculation puts the relative energy among the computed polymorphs at 0.000 eV per atom.

---

[9]
Density functional theory data (GGA-PBE) for crystalline ZrMoIN2 at its relaxed geometry.

Cell lengths 4.2197, 4.2197, 6.0216 Å; angles 90.00, 90.00, 90.00 degrees
Sites, in units of the cell vectors:
N  0.5000  0.0000  0.0000
Mo  0.5000  0.5000  0.5000
N  0.0000  0.5000  0.0000
I  0.0000  0.0000  0.5000
Zr  0.0000  0.0000  0.0000

The value obtained for the volume is 107.2 Å³ per cell. Its symmetry is No. 123. The total DFT energy (no corrections) comes out at -32.76 eV/cell. The calculation puts the relative energy among the computed polymorphs at 0.252 eV per atom.

---

[10]
Density functional theory data (GGA-PBE) for crystalline ZrMoIN2 at its relaxed geometry.

Cell lengths 4.0387, 4.0387, 5.3999 Å; angles 90.00, 90.00, 90.00 degrees
Sites, in units of the cell vectors:
N  0.5000  0.0000  0.0000
Mo  0.0000  0.0000  0.0000
I  0.0000  0.0000  0.5000
Zr  0.5000  0.5000  0.5000
N  0.0000  0.5000  0.0000

The value obtained for the volume is 88.1 Å³ per cell. Its symmetry is No. 123. The total DFT energy (no corrections) comes out at -34.02 eV/cell. The calculation puts the relative energy among the computed polymorphs at 0.000 eV per atom.

---

[11]
Density functional theory data (GGA-PBE) for crystalline Na3MoI at its relaxed geometry.

Cell lengths 6.1085, 6.1085, 6.1085 Å; angles 90.00, 90.00, 90.00 degrees
Sites, in units of the cell vectors:
Mo  0.0000  0.0000  0.0000
I  0.5000  0.5000  0.5000
Na  0.0000  0.5000  0.0000
Na  0.0000  0.0000  0.5000
Na  0.5000  0.0000  0.0000

The value obtained for the volume is 227.9 Å³ per cell. Its symmetry is No. 221. The total DFT energy (no corrections) comes out at -12.22 eV/cell. The calculation puts the relative energy among the computed polymorphs at 0.136 eV per atom.

---

[12]
Density functional theory data (GGA-PBE) for crystalline Na2MoI at its relaxed geometry.

Cell lengths 8.9426, 8.9426, 7.0454 Å; angles 50.61, 50.61, 90.00 degrees
Sites, in units of the cell vectors:
Mo  0.5000  0.5000  0.0000
I  0.7500  0.2500  0.5000
Na  0.6410  0.1250  0.2500
I  0.0000  0.0000  0.0000
Na  0.1090  0.6250  0.2500
Mo  0.2500  0.7500  0.5000
Na  0.8750  0.8910  0.7500
Na  0.3750  0.3590  0.7500

The value obtained for the volume is 248.4 Å³ per cell. Its symmetry is No. 122. The total DFT energy (no corrections) comes out at -24.09 eV/cell. The calculation puts the relative energy among the computed polymorphs at 0.000 eV per atom.

---

[13]
Density functional theory data (GGA-PBE) for crystalline Na3MoI at its relaxed geometry.

Cell lengths 5.9472, 5.9472, 5.9472 Å; angles 90.00, 90.00, 90.00 degrees
Sites, in units of the cell vectors:
Mo  0.5000  0.5000  0.5000
Na  0.5000  0.0000  0.0000
Na  0.0000  0.5000  0.0000
I  0.0000  0.0000  0.0000
Na  0.0000  0.0000  0.5000

The value obtained for the volume is 210.3 Å³ per cell. Its symmetry is No. 221. The total DFT energy (no corrections) comes out at -12.90 eV/cell. The calculation puts the relative energy among the computed polymorphs at 0.000 eV per atom.

---

[14]
Density functional theory data (GGA-PBE) for crystalline Na2MoI at its relaxed geometry.

Cell lengths 5.6577, 5.6577, 5.6577 Å; angles 60.00, 60.00, 60.00 degrees
Sites, in units of the cell vectors:
Na  0.2500  0.2500  0.2500
Na  0.7500  0.7500  0.7500
I  0.5000  0.5000  0.5000
Mo  0.0000  0.0000  0.0000

The value obtained for the volume is 128.1 Å³ per cell. Its symmetry is No. 225. The total DFT energy (no corrections) comes out at -11.90 eV/cell. The calculation puts the relative energy among the computed polymorphs at 0.035 eV per atom.

---

[15]
Density functional theory data (GGA-PBE) for crystalline NaNi2MoI at its relaxed geometry.

Cell lengths 4.5354, 5.2481, 4.5354 Å; angles 90.00, 90.00, 90.00 degrees
Sites, in units of the cell vectors:
Mo  0.5000  0.5000  0.5000
Ni  0.5000  0.0000  0.0000
Ni  0.0000  0.0000  0.5000
I  0.0000  0.5000  0.0000
Na  0.0000  0.0000  0.0000

The value obtained for the volume is 108.0 Å³ per cell. Its symmetry is No. 123. The total DFT energy (no corrections) comes out at -16.22 eV/cell.

---

Number 1: E_form (uncorrected) 8.52 eV/f.u.. Number 2: E_form (uncorrected) 3.88 eV/f.u.. Number 3: E_form (uncorrected) 4.66 eV/f.u.. Number 4: E_form (uncorrected) 14.14 eV/f.u.. Number 5: E_form (uncorrected) 5.37 eV/f.u.. Number 6: E_form (uncorrected) 4.10 eV/f.u.. Number 7: E_form (uncorrected) 6.33 eV/f.u.. Number 8: E_form (uncorrected) 1.59 eV/f.u.. Number 9: E_form (uncorrected) 4.82 eV/f.u.. Number 10: E_form (uncorrected) 3.56 eV/f.u.. Number 11: E_form (uncorrected) 4.12 eV/f.u.. Number 12: E_form (uncorrected) 2.98 eV/f.u.. Number 13: E_form (uncorrected) 3.44 eV/f.u.. Number 14: E_form (uncorrected) 3.12 eV/f.u.. Number 15: E_form (uncorrected) 9.05 eV/f.u..